1.
The following is a DFT calculation (PBE) of a geometry-optimized K2Ge structure.

Cell lengths 5.9674, 5.9674, 3.7058 Å; angles 90.00, 90.00, 90.00 degrees
Closest atoms and distances in Å follow each position.
Space group P4/mmm (No. 123)
Unique sites:
K 0.0000 0.5000 0.0000 (multiplicity 2)  4 Ge 3.51, 2 K 3.71
Ge 0.0000 0.0000 0.5000 (multiplicity 1)  8 K 3.51, 2 Ge 3.71

Properties
distance to the lowest polymorph of the same formula	0.767	eV per formula unit

=====

2.
The following is a DFT calculation (PBE) of a geometry-optimized KGe4 structure.

Cell lengths 5.4324, 5.4324, 5.4324 Å; angles 90.00, 90.00, 90.00 degrees
Closest atoms and distances in Å follow each position.
Space group Pm-3m (No. 221)
Unique sites:
K 0.0000 0.0000 0.0000 (multiplicity 1)  6 Ge 2.72
Ge 0.0000 0.0000 0.5000 (multiplicity 3)  2 K 2.72
Ge 0.5000 0.5000 0.5000 (multiplicity 1)  12 Ge 3.84

=====

3.
The following is a DFT calculation (PBE) of a geometry-optimized K2Ge structure.

Cell lengths 5.7848, 4.1106, 11.0328 Å; angles 90.00, 105.25, 90.00 degrees
Closest atoms and distances in Å follow each position.
Space group P2_1 (No. 4)
Unique sites:
K 0.0726 0.0000 0.1457 (multiplicity 2)  6 Ge 3.61-3.71, 4 K 3.67-3.72
K 0.3210 0.5087 0.6421 (multiplicity 2)  2 K 3.67, 2 Ge 3.67-3.70
Ge 0.4617 0.0029 0.9293 (multiplicity 2)  2 Ge 2.55

Properties
distance to the lowest polymorph of the same formula	0.071	eV per formula unit

=====

4.
The following is a DFT calculation (PBE) of a geometry-optimized K3Ge17 structure.

Cell lengths 15.9485, 15.9485, 15.9485 Å; angles 90.00, 90.00, 90.00 degrees
Closest atoms and distances in Å follow each position.
Space group Fd-3m (No. 227, origin choice 2)
Unique sites:
K 0.0000 0.0000 0.0000 (multiplicity 16)  20 Ge 3.45-3.66
K 0.1250 0.1250 0.6250 (multiplicity 8)  28 Ge 4.24-4.34
Ge 0.0310 0.0310 0.2190 (multiplicity 32)  4 Ge 2.57-2.60
Ge 0.0674 0.0674 0.3716 (multiplicity 96)  4 Ge 2.55-2.60
Ge 0.1250 0.1250 0.1250 (multiplicity 8)  4 Ge 2.60

=====

5.
The following is a DFT calculation (PBE) of a geometry-optimized K2Ge structure.

Cell lengths 4.0897, 6.7262, 10.1848 Å; angles 70.76, 89.48, 72.62 degrees
Closest atoms and distances in Å follow each position.
Space group P-1 (No. 2)
Unique sites:
K 0.0103 0.4581 0.1713 (multiplicity 2)  2 K 3.34-3.72, 3 Ge 3.63-3.74
K 0.3181 0.8456 0.3441 (multiplicity 2)  3 Ge 3.59-3.76, 1 K 3.72
Ge 0.2902 0.9206 0.9614 (multiplicity 2)  2 Ge 2.53

Properties
distance to the lowest polymorph of the same formula	0.062	eV per formula unit

=====

6.
The following is a DFT calculation (PBE) of a geometry-optimized K5Ge structure.

Cell lengths 5.9812, 16.5514, 6.1030 Å; angles 90.00, 90.00, 90.00 degrees
Closest atoms and distances in Å follow each position.
Space group Cmmm (No. 65)
Unique sites:
K 0.0000 0.0000 0.0000 (multiplicity 2)  8 K 3.76-3.80
K 0.0000 0.1369 0.5000 (multiplicity 4)  2 Ge 3.75, 2 K 3.80
K 0.0000 0.3624 0.0000 (multiplicity 4)  2 K 3.76, 2 Ge 3.81
Ge 0.0000 0.5000 0.5000 (multiplicity 2)  8 K 3.75-3.81

=====

7.
The following is a DFT calculation (PBE) of a geometry-optimized KLaGe2 structure.

Cell lengths 5.3315, 5.3315, 20.8004 Å; angles 90.00, 90.00, 90.00 degrees
Closest atoms and distances in Å follow each position.
Space group I-42d (No. 122)
Unique sites:
K 0.0000 0.0000 0.0000 (multiplicity 4)  4 Ge 3.55, 4 La 3.77
La 0.0000 0.0000 0.5000 (multiplicity 4)  4 Ge 2.99
Ge 0.1222 0.2500 0.6250 (multiplicity 8)  2 Ge 2.97, 2 La 2.99

Properties
distance to the lowest polymorph of the same formula	1.146	eV per formula unit

=====

8.
The following is a DFT calculation (PBE) of a geometry-optimized KLa3Ge structure.

Cell lengths 5.9975, 5.9975, 5.9975 Å; angles 90.00, 90.00, 90.00 degrees
Closest atoms and distances in Å follow each position.
Space group Pm-3m (No. 221)
Unique sites:
K 0.0000 0.0000 0.0000 (multiplicity 1)  12 La 4.24
La 0.0000 0.5000 0.5000 (multiplicity 3)  2 Ge 3.00
Ge 0.5000 0.5000 0.5000 (multiplicity 1)  6 La 3.00

Properties
distance to the lowest polymorph of the same formula	0.000	eV per formula unit

=====

9.
The following is a DFT calculation (PBE) of a geometry-optimized KLaGe2 structure.

Cell lengths 7.6034, 7.6034, 7.6034 Å; angles 90.00, 90.00, 90.00 degrees
Closest atoms and distances in Å follow each position.
Space group Fm-3m (No. 225)
Unique sites:
K 0.0000 0.0000 0.0000 (multiplicity 4)  8 Ge 3.29
La 0.0000 0.0000 0.5000 (multiplicity 4)  8 Ge 3.29
Ge 0.2500 0.2500 0.2500 (multiplicity 8)  4 La 3.29, 4 K 3.29

Properties
distance to the lowest polymorph of the same formula	0.000	eV per formula unit

=====

10.
The following is a DFT calculation (PBE) of a geometry-optimized K2LaGe2 structure.

Cell lengths 5.6307, 5.6307, 10.2684 Å; angles 90.00, 90.00, 90.00 degrees
Closest atoms and distances in Å follow each position.
Space group I4/mmm (No. 139)
Unique sites:
K 0.0000 0.0000 0.1354 (multiplicity 4)  1 K 2.78, 4 Ge 3.05
La 0.0000 0.0000 0.5000 (multiplicity 2)  2 K 3.74, 8 Ge 3.81
Ge 0.0000 0.5000 0.2500 (multiplicity 4)  4 K 3.05

Properties
distance to the lowest polymorph of the same formula	0.903	eV per formula unit

=====

11.
The following is a DFT calculation (PBE) of a geometry-optimized KLa3Ge structure.

Cell lengths 5.4260, 5.4260, 5.4260 Å; angles 90.00, 90.00, 90.00 degrees
Closest atoms and distances in Å follow each position.
Space group Pm-3m (No. 221)
Unique sites:
K 0.0000 0.0000 0.0000 (multiplicity 1)  6 La 2.71
La 0.0000 0.0000 0.5000 (multiplicity 3)  2 K 2.71
Ge 0.5000 0.5000 0.5000 (multiplicity 1)  12 La 3.84

Properties
distance to the lowest polymorph of the same formula	4.970	eV per formula unit

=====

12.
The following is a DFT calculation (PBE) of a geometry-optimized K2LaGe2 structure.

Cell lengths 9.6493, 9.6493, 3.2137 Å; angles 90.00, 90.00, 90.00 degrees
Closest atoms and distances in Å follow each position.
Space group P4/mbm (No. 127)
Unique sites:
K 0.1128 0.3872 0.0000 (multiplicity 4)  3 K 3.08-3.21, 6 Ge 3.17-3.38
La 0.0000 0.0000 0.0000 (multiplicity 2)  2 La 3.21
Ge 0.1867 0.6867 0.5000 (multiplicity 4)  6 K 3.17-3.38, 2 Ge 3.21

Properties
distance to the lowest polymorph of the same formula	0.000	eV per formula unit

=====

Number 1: calculated total energy -0.1542 Ry per atom, density 1.90 g/cm3, volume 43.989 A^3/atom. Number 2: calculated total energy -0.1686 Ry per atom, density 3.41 g/cm3, volume 32.063 A^3/atom. Number 3: calculated total energy -0.1712 Ry per atom, density 1.98 g/cm3, volume 42.186 A^3/atom. Number 4: calculated total energy -0.3076 Ry per atom, density 4.43 g/cm3, volume 25.354 A^3/atom. Number 5: calculated total energy -0.1715 Ry per atom, density 1.99 g/cm3, volume 41.865 A^3/atom. Number 6: calculated total energy -0.1153 Ry per atom, density 1.47 g/cm3, volume 50.348 A^3/atom. Number 7: calculated total energy -0.2701 Ry per atom, density 3.63 g/cm3, volume 36.952 A^3/atom. Number 8: calculated total energy -0.3011 Ry per atom, density 4.07 g/cm3, volume 43.146 A^3/atom. Number 9: calculated total energy -0.2911 Ry per atom, density 4.89 g/cm3, volume 27.473 A^3/atom. Number 10: calculated total energy -0.2147 Ry per atom, density 3.70 g/cm3, volume 32.556 A^3/atom. Number 11: calculated total energy -0.2280 Ry per atom, density 5.49 g/cm3, volume 31.950 A^3/atom. Number 12: calculated total energy -0.2280 Ry per atom, density 4.02 g/cm3, volume 29.923 A^3/atom.